(1)
Entry from Alexandria via LeMat-Bulk: Nd4Sm11Ho9 after structural relaxation (PBE-GGA).

Structure (CIF):
```
data_Nd4Sm11Ho9
_cell_length_a 16.895
_cell_length_b 25.454
_cell_length_c 3.707
_cell_angle_alpha 90.00
_cell_angle_beta 90.00
_cell_angle_gamma 90.00
_symmetry_space_group_name_H-M 'C m m m'
_symmetry_Int_Tables_number 65
_symmetry_space_group_name_Hall '-C 2 2'
loop_
_atom_site_label
_atom_site_type_symbol
_atom_site_fract_x
_atom_site_fract_y
_atom_site_fract_z
_atom_site_occupancy
Nd1 Nd 0.155 0.101 0.000 1
Sm1 Sm 0.000 0.134 0.500 1
Sm2 Sm 0.000 0.341 0.500 1
Sm3 Sm 0.000 0.500 0.500 1
Sm4 Sm 0.210 0.000 0.500 1
Sm5 Sm 0.226 0.319 0.500 1
Ho1 Ho 0.000 0.000 0.000 1
Ho2 Ho 0.101 0.236 0.000 1
Ho3 Ho 0.138 0.427 0.000 1
```

Calculated values
Raw total energy ... -4.6117 eV/atom
Formation energy ... 62.6 meV per atom
Spin magnetization ... 0.00 μB per cell
Density of states at the Fermi level ... 60.82 states/eV per cell

(2)
Entry from Alexandria via LeMat-Bulk: NdSm9Ho2 after structural relaxation (PBE-GGA).

Structure (CIF):
```
data_NdSm9Ho2
_cell_length_a 11.4287
_cell_length_b 11.4287
_cell_length_c 3.5534
_cell_angle_alpha 90.00
_cell_angle_beta 90.00
_cell_angle_gamma 120.00
_symmetry_space_group_name_H-M 'P 6/m m m'
_symmetry_Int_Tables_number 191
_symmetry_space_group_name_Hall '-P 6 2'
loop_
_atom_site_label
_atom_site_type_symbol
_atom_site_fract_x
_atom_site_fract_y
_atom_site_fract_z
_atom_site_occupancy
Nd1 Nd 0.0000 0.0000 0.0000 1
Sm1 Sm 0.0000 0.5000 0.0000 1
Sm2 Sm 0.1768 0.3536 0.5000 1
Ho1 Ho 0.3333 0.6667 0.0000 1
```

Calculated values
Raw total energy ... -4.6648 eV/atom
Formation energy ... 34.8 meV per atom
Spin magnetization ... 0.00 μB per cell
Density of states at the Fermi level ... 14.14 states/eV per cell

(3)
Entry from Alexandria via LeMat-Bulk: NdSm2Ho after structural relaxation (PBE-GGA).

Structure (CIF):
```
data_NdSm2Ho
_cell_length_a 5.107
_cell_length_b 5.107
_cell_length_c 5.118
_cell_angle_alpha 90.00
_cell_angle_beta 90.00
_cell_angle_gamma 90.00
_symmetry_space_group_name_H-M 'P 4/m m m'
_symmetry_Int_Tables_number 123
_symmetry_space_group_name_Hall '-P 4 2'
loop_
_atom_site_label
_atom_site_type_symbol
_atom_site_fract_x
_atom_site_fract_y
_atom_site_fract_z
_atom_site_occupancy
Nd1 Nd 0.000 0.000 0.000 1
Sm1 Sm 0.000 0.500 0.500 1
Ho1 Ho 0.500 0.500 0.000 1
```

Calculated values
Raw total energy ... -4.6783 eV/atom
Formation energy ... 17.7 meV per atom
Spin magnetization ... 0.00 μB per cell
Density of states at the Fermi level ... 6.44 states/eV per cell

(4)
Entry from Alexandria via LeMat-Bulk: Nd5Sm4Ho3 after structural relaxation (PBE-GGA).

Structure (CIF):
```
data_Nd5Sm4Ho3
_cell_length_a 6.274
_cell_length_b 7.241
_cell_length_c 8.881
_cell_angle_alpha 90.00
_cell_angle_beta 90.14
_cell_angle_gamma 90.17
_symmetry_space_group_name_H-M 'P -1'
_symmetry_Int_Tables_number 2
loop_
_symmetry_equiv_pos_as_xyz
'x,y,z'
'-x,-y,-z'
loop_
_atom_site_label
_atom_site_type_symbol
_atom_site_fract_x
_atom_site_fract_y
_atom_site_fract_z
_atom_site_occupancy
Nd1 Nd 0.000 0.000 0.000 1
Nd2 Nd 0.331 0.500 0.334 1
Nd3 Nd 0.498 0.251 0.000 1
Sm1 Sm 0.166 0.749 0.666 1
Sm2 Sm 0.334 0.000 0.335 1
Ho1 Ho 0.000 0.500 0.000 1
Ho2 Ho 0.167 0.250 0.667 1
```

Calculated values
Raw total energy ... -4.6900 eV/atom
Formation energy ... 14.1 meV per atom
Spin magnetization ... 0.00 μB per cell
Density of states at the Fermi level ... 16.10 states/eV per cell

(5)
Entry from Alexandria via LeMat-Bulk: NdSm2Ho4 after structural relaxation (PBE-GGA).

Structure (CIF):
```
data_NdSm2Ho4
_cell_length_a 6.092
_cell_length_b 6.609
_cell_length_c 11.633
_cell_angle_alpha 90.00
_cell_angle_beta 104.19
_cell_angle_gamma 90.00
_symmetry_space_group_name_H-M 'P 1 21/m 1'
_symmetry_Int_Tables_number 11
loop_
_symmetry_equiv_pos_as_xyz
'x,y,z'
'-x,-y,-z'
'-x,y+1/2,-z'
'x,-y+1/2,z'
loop_
_atom_site_label
_atom_site_type_symbol
_atom_site_fract_x
_atom_site_fract_y
_atom_site_fract_z
_atom_site_occupancy
Nd1 Nd 0.037 0.250 0.363 1
Sm1 Sm 0.158 0.250 0.951 1
Sm2 Sm 0.399 0.750 0.512 1
Ho1 Ho 0.145 0.250 0.666 1
Ho2 Ho 0.282 0.750 0.922 1
Ho3 Ho 0.344 0.508 0.210 1
```

Calculated values
Raw total energy ... -4.5220 eV/atom
Formation energy ... 123.3 meV per atom
Spin magnetization ... 0.00 μB per cell
Density of states at the Fermi level ... 22.16 states/eV per cell

(6)
Entry from Alexandria via LeMat-Bulk: NdSm3Ho2 after structural relaxation (PBE-GGA).

Structure (CIF):
```
data_NdSm3Ho2
_cell_length_a 7.259
_cell_length_b 7.259
_cell_length_c 8.952
_cell_angle_alpha 78.21
_cell_angle_beta 78.25
_cell_angle_gamma 60.02
_symmetry_space_group_name_H-M 'P -1'
_symmetry_Int_Tables_number 2
loop_
_symmetry_equiv_pos_as_xyz
'x,y,z'
'-x,-y,-z'
loop_
_atom_site_label
_atom_site_type_symbol
_atom_site_fract_x
_atom_site_fract_y
_atom_site_fract_z
_atom_site_occupancy
Nd1 Nd 0.249 0.251 0.003 1
Sm1 Sm 0.139 0.140 0.665 1
Sm2 Sm 0.251 0.749 0.998 1
Sm3 Sm 0.361 0.860 0.336 1
Ho1 Ho 0.140 0.638 0.665 1
Ho2 Ho 0.360 0.363 0.335 1
```

Calculated values
Raw total energy ... -4.6806 eV/atom
Formation energy ... -0.5 meV per atom
Spin magnetization ... 0.00 μB per cell
Density of states at the Fermi level ... 14.80 states/eV per cell

(7)
Entry from Alexandria via LeMat-Bulk: Nd4Sm5Ho2 after structural relaxation (PBE-GGA).

Structure (CIF):
```
data_Nd4Sm5Ho2
_cell_length_a 3.529
_cell_length_b 9.409
_cell_length_c 23.249
_cell_angle_alpha 90.00
_cell_angle_beta 90.00
_cell_angle_gamma 90.00
_symmetry_space_group_name_H-M 'I m m m'
_symmetry_Int_Tables_number 71
_symmetry_space_group_name_Hall '-I 2 2'
loop_
_atom_site_label
_atom_site_type_symbol
_atom_site_fract_x
_atom_site_fract_y
_atom_site_fract_z
_atom_site_occupancy
Nd1 Nd 0.000 0.000 0.096 1
Nd2 Nd 0.000 0.297 0.500 1
Sm1 Sm 0.000 0.204 0.350 1
Sm2 Sm 0.000 0.500 0.000 1
Ho1 Ho 0.000 0.000 0.230 1
```

Calculated values
Raw total energy ... -4.4651 eV/atom
Formation energy ... 246.0 meV per atom
Spin magnetization ... 0.00 μB per cell
Density of states at the Fermi level ... 32.37 states/eV per cell

(8)
Entry from Alexandria via LeMat-Bulk: Nd2Sm12Ho5 after structural relaxation (PBE-GGA).

Structure (CIF):
```
data_Nd2Sm12Ho5
_cell_length_a 15.884
_cell_length_b 9.314
_cell_length_c 8.689
_cell_angle_alpha 90.00
_cell_angle_beta 91.14
_cell_angle_gamma 90.00
_symmetry_space_group_name_H-M 'C 1 2/m 1'
_symmetry_Int_Tables_number 12
loop_
_symmetry_equiv_pos_as_xyz
'x,y,z'
'-x,-y,-z'
'-x,y,-z'
'x,-y,z'
'x+1/2,y+1/2,z'
'-x+1/2,-y+1/2,-z'
'-x+1/2,y+1/2,-z'
'x+1/2,-y+1/2,z'
loop_
_atom_site_label
_atom_site_type_symbol
_atom_site_fract_x
_atom_site_fract_y
_atom_site_fract_z
_atom_site_occupancy
Nd1 Nd 0.000 0.177 0.000 1
Sm1 Sm 0.062 0.000 0.337 1
Sm2 Sm 0.089 0.500 0.882 1
Sm3 Sm 0.126 0.193 0.663 1
Sm4 Sm 0.154 0.319 0.239 1
Ho1 Ho 0.000 0.500 0.500 1
Ho2 Ho 0.200 0.000 0.018 1
Ho3 Ho 0.230 0.500 0.571 1
```

Calculated values
Raw total energy ... -4.5568 eV/atom
Formation energy ... 130.3 meV per atom
Spin magnetization ... 0.00 μB per cell
Density of states at the Fermi level ... 54.59 states/eV per cell

(9)
Entry from Alexandria via LeMat-Bulk: Nd7Sm3Ho after structural relaxation (PBE-GGA).

Structure (CIF):
```
data_Nd7Sm3Ho
_cell_length_a 12.917
_cell_length_b 11.408
_cell_length_c 5.972
_cell_angle_alpha 90.00
_cell_angle_beta 117.49
_cell_angle_gamma 90.00
_symmetry_space_group_name_H-M 'C 1 2/m 1'
_symmetry_Int_Tables_number 12
loop_
_symmetry_equiv_pos_as_xyz
'x,y,z'
'-x,-y,-z'
'-x,y,-z'
'x,-y,z'
'x+1/2,y+1/2,z'
'-x+1/2,-y+1/2,-z'
'-x+1/2,y+1/2,-z'
'x+1/2,-y+1/2,z'
loop_
_atom_site_label
_atom_site_type_symbol
_atom_site_fract_x
_atom_site_fract_y
_atom_site_fract_z
_atom_site_occupancy
Nd1 Nd 0.000 0.000 0.000 1
Nd2 Nd 0.195 0.293 0.696 1
Nd3 Nd 0.210 0.500 0.211 1
Sm1 Sm 0.000 0.293 0.000 1
Sm2 Sm 0.000 0.500 0.500 1
Ho1 Ho 0.000 0.000 0.500 1
```

Calculated values
Raw total energy ... -4.5088 eV/atom
Formation energy ... 228.5 meV per atom
Spin magnetization ... 0.00 μB per cell
Density of states at the Fermi level ... 32.38 states/eV per cell

(10)
Entry from Alexandria via LeMat-Bulk: Nd4Sm6Ho after structural relaxation (PBE-GGA).

Structure (CIF):
```
data_Nd4Sm6Ho
_cell_length_a 7.648
_cell_length_b 7.648
_cell_length_c 13.552
_cell_angle_alpha 90.00
_cell_angle_beta 90.00
_cell_angle_gamma 90.00
_symmetry_space_group_name_H-M 'I -4 2 m'
_symmetry_Int_Tables_number 121
_symmetry_space_group_name_Hall 'I -4 2'
loop_
_atom_site_label
_atom_site_type_symbol
_atom_site_fract_x
_atom_site_fract_y
_atom_site_fract_z
_atom_site_occupancy
Nd1 Nd 0.174 0.174 0.421 1
Sm1 Sm 0.000 0.500 0.000 1
Sm2 Sm 0.228 0.228 0.187 1
Ho1 Ho 0.000 0.000 0.000 1
```

Calculated values
Raw total energy ... -4.3345 eV/atom
Formation energy ... 389.5 meV per atom
Spin magnetization ... 0.00 μB per cell
Density of states at the Fermi level ... 26.27 states/eV per cell

(11)
Entry from Alexandria via LeMat-Bulk: NdSm8Ho5 after structural relaxation (PBE-GGA).

Structure (CIF):
```
data_NdSm8Ho5
_cell_length_a 9.585
_cell_length_b 9.585
_cell_length_c 10.334
_cell_angle_alpha 90.00
_cell_angle_beta 90.00
_cell_angle_gamma 90.00
_symmetry_space_group_name_H-M 'I -4'
_symmetry_Int_Tables_number 82
loop_
_symmetry_equiv_pos_as_xyz
'x,y,z'
'y,-x,-z'
'-x,-y,z'
'-y,x,-z'
'x+1/2,y+1/2,z+1/2'
'y+1/2,-x+1/2,-z+1/2'
'-x+1/2,-y+1/2,z+1/2'
'-y+1/2,x+1/2,-z+1/2'
loop_
_atom_site_label
_atom_site_type_symbol
_atom_site_fract_x
_atom_site_fract_y
_atom_site_fract_z
_atom_site_occupancy
Nd1 Nd 0.000 0.000 0.000 1
Sm1 Sm 0.070 0.825 0.649 1
Sm2 Sm 0.088 0.676 0.997 1
Ho1 Ho 0.000 0.500 0.750 1
Ho2 Ho 0.110 0.706 0.322 1
```

Calculated values
Raw total energy ... -4.4294 eV/atom
Formation energy ... 242.7 meV per atom
Spin magnetization ... 0.00 μB per cell
Density of states at the Fermi level ... 42.25 states/eV per cell

(12)
Entry from Alexandria via LeMat-Bulk: Nd4Sm4Ho5 after structural relaxation (PBE-GGA).

Structure (CIF):
```
data_Nd4Sm4Ho5
_cell_length_a 13.020
_cell_length_b 13.020
_cell_length_c 5.080
_cell_angle_alpha 90.00
_cell_angle_beta 90.00
_cell_angle_gamma 90.00
_symmetry_space_group_name_H-M 'I 4/m'
_symmetry_Int_Tables_number 87
_symmetry_space_group_name_Hall '-I 4'
loop_
_atom_site_label
_atom_site_type_symbol
_atom_site_fract_x
_atom_site_fract_y
_atom_site_fract_z
_atom_site_occupancy
Nd1 Nd 0.079 0.617 0.000 1
Sm1 Sm 0.153 0.229 0.000 1
Ho1 Ho 0.000 0.000 0.000 1
Ho2 Ho 0.039 0.811 0.500 1
```

Calculated values
Raw total energy ... -4.6628 eV/atom
Formation energy ... 17.0 meV per atom
Spin magnetization ... 0.00 μB per cell
Density of states at the Fermi level ... 36.42 states/eV per cell